First-principles (PBE) data for a relaxed structure of RbFe, as listed in OQMD via LeMat-Bulk.

Values from the calculation:
- excess energy over the best structure of this formula in the dataset (eV per formula unit) = 1.31

Cell and atoms, written as CIF:
```
data_RbFe
_cell_length_a 4.8035
_cell_length_b 4.8035
_cell_length_c 8.8460
_cell_angle_alpha 90.00
_cell_angle_beta 90.00
_cell_angle_gamma 120.00
_space_group_name_H-M_alt 'P 63/m m c'
_space_group_IT_number 194
_space_group_name_Hall '-P 6c 2c'
loop_
_atom_site_label
_atom_site_fract_x
_atom_site_fract_y
_atom_site_fract_z
_atom_site_occupancy
Rb1 0.0000 0.0000 0.0000 1
Fe1 0.3333 0.6667 0.2500 1
```